{"formula": "La2TbCoO6", "functional": "PBE+U", "state": "optimized geometry", "dft_energy_ev_per_atom": -7.7228, "vol_a3_per_atom": 13.551, "cell": [[5.672, 0.000, 0.000], [0.000, 5.838, 0.000], [-5.508, 0.000, 8.185]], "species": ["La", "La", "La", "La", "Tb", "Tb", "Co", "Co", "O", "O", "O", "O", "O", "O", "O", "O", "O", "O", "O", "O"], "frac_coords": [[0.234, 0.053, 0.248], [0.234, 0.447, 0.748], [0.766, 0.553, 0.252], [0.766, 0.947, 0.752], [0.500, 0.000, 0.000], [0.500, 0.500, 0.500], [0.000, 0.000, 0.500], [0.000, 0.500, 0.000], [0.124, 0.208, 0.939], [0.124, 0.292, 0.439], [0.229, 0.685, 0.947], [0.229, 0.815, 0.447], [0.349, 0.040, 0.738], [0.349, 0.460, 0.238], [0.651, 0.540, 0.762], [0.651, 0.960, 0.262], [0.771, 0.185, 0.553], [0.771, 0.315, 0.053], [0.876, 0.708, 0.561], [0.876, 0.792, 0.061]]}